Record 1
Material: LiMgNbNi
Method: DFT, PBE-GGA
State: relaxed

```
4
Lattice="0.000 3.098 3.098 3.098 0.000 3.098 3.098 3.098 0.000" Properties=species:S:1:pos:R:3 pbc="T T T"
Li 0.000 0.000 0.000
Mg 4.647 4.647 4.647
Nb 3.098 3.098 3.098
Ni 1.549 1.549 1.549
```

Summary:
**Space group**: No. 216
**Relative energy among the computed polymorphs**: 0.576 eV per formula unit

---

Record 2
Material: Hf2Pb
Method: DFT, PBE-GGA
State: relaxed

```
3
Lattice="0.000 3.380 3.380 3.380 0.000 3.380 3.380 3.380 0.000" Properties=species:S:1:pos:R:3 pbc="T T T"
Hf 1.690 1.690 1.690
Hf 5.070 5.070 5.070
Pb 0.000 0.000 0.000
```

Summary:
**Space group**: No. 225

---

Record 3
Material: LaNdNp
Method: DFT, PBE-GGA
State: relaxed

```
3
Lattice="0.000 3.685 3.685 3.685 0.000 3.685 3.685 3.685 0.000" Properties=species:S:1:pos:R:3 pbc="T T T"
La 0.000 0.000 0.000
Nd 5.528 5.528 5.528
Np 1.843 1.843 1.843
```

Summary:
**Space group**: No. 216
**ΔE_f**: 1.047 eV/atom
**Relative energy among the computed polymorphs**: 0.000 eV per formula unit

---

Record 4
Material: TbEr2Mg3AlGa2
Method: DFT, PBE-GGA
State: relaxed

```
9
Lattice="4.490 0.000 0.000 0.000 6.295 3.615 0.000 -6.295 3.615" Properties=species:S:1:pos:R:3 pbc="T T T"
Tb 0.000 0.000 0.000
Er 0.000 -2.738 2.513
Er 0.000 2.738 2.513
Mg 2.245 0.000 2.316
Mg 2.245 -1.538 4.964
Mg 2.245 1.538 4.964
Al 0.000 0.000 4.064
Ga 2.245 -4.183 4.085
Ga 2.245 4.183 4.085
```

Summary:
**Space group**: No. 38

---

Record 5
Material: KZnNiTe3
Method: DFT, PBE-GGA
State: relaxed

```
12
Lattice="2.025 -7.584 0.000 2.025 7.584 0.000 0.000 0.000 10.972" Properties=species:S:1:pos:R:3 pbc="T T T"
K 2.025 3.922 8.229
K 2.025 -3.922 2.743
Zn 2.025 0.662 2.743
Zn 2.025 -0.662 8.229
Ni 0.000 0.000 0.000
Ni 0.000 0.000 5.486
Te 2.025 6.583 2.743
Te 2.025 1.709 0.306
Te 2.025 1.709 5.180
Te 2.025 -1.709 5.791
Te 2.025 -1.709 10.666
Te 2.025 -6.583 8.229
```

Summary:
**Space group**: No. 63

---

Record 6
Material: LaEr2S3
Method: DFT, PBE-GGA
State: relaxed

```
6
Lattice="3.921 0.000 0.000 -1.960 3.396 0.000 0.000 0.000 9.859" Properties=species:S:1:pos:R:3 pbc="T T T"
La 0.000 0.000 0.000
Er 0.000 2.264 6.519
Er 1.960 1.132 3.340
S 0.000 0.000 4.929
S 0.000 2.264 1.852
S 1.960 1.132 8.007
```

Summary:
**Space group**: No. 164

---

Record 7
Material: PaZnAu
Method: DFT, PBE-GGA
State: relaxed

```
3
Lattice="4.663 0.000 0.000 -2.332 4.038 0.000 0.000 0.000 3.208" Properties=species:S:1:pos:R:3 pbc="T T T"
Pa 0.000 0.000 0.000
Zn 0.000 2.692 1.604
Au 2.332 1.346 1.604
```

Summary:
**Space group**: No. 187
**ΔE_f**: -0.334 eV/atom

---

Record 8
Material: PrSbAsO
Method: DFT, PBE-GGA
State: relaxed

```
8
Lattice="4.188 0.000 0.000 0.000 4.188 0.000 0.000 0.000 10.444" Properties=species:S:1:pos:R:3 pbc="T T T"
Pr 1.047 1.047 1.142
Pr 3.141 3.141 9.302
Sb 1.047 3.141 5.222
Sb 3.141 1.047 5.222
As 1.047 1.047 7.543
As 3.141 3.141 2.901
O 1.047 3.141 0.000
O 3.141 1.047 0.000
```

Summary:
**Space group**: No. 129
**Relative energy among the computed polymorphs**: 0.000 eV per formula unit

---

Record 9
Material: Ta2CuSe5
Method: DFT, PBE-GGA
State: relaxed

```
16
Lattice="1.770 -6.830 0.000 1.770 6.830 0.000 0.000 0.000 15.740" Properties=species:S:1:pos:R:3 pbc="T T T"
Ta 1.770 3.821 9.489
Ta 1.770 3.821 14.122
Ta 1.770 -3.821 1.619
Ta 1.770 -3.821 6.252
Cu 1.770 2.682 3.935
Cu 1.770 -2.682 11.805
Se 1.770 4.792 0.842
Se 1.770 4.792 7.028
Se 1.770 2.481 11.805
Se 1.770 1.182 2.097
Se 1.770 1.182 5.773
Se 1.770 -1.182 9.967
Se 1.770 -1.182 13.643
Se 1.770 -2.481 3.935
Se 1.770 -4.792 8.712
Se 1.770 -4.792 14.899
```

Summary:
**Space group**: No. 63

---

Record 10
Material: HfCoPd2
Method: DFT, PBE-GGA
State: relaxed

```
4
Lattice="0.000 3.137 3.137 3.137 0.000 3.137 3.137 3.137 0.000" Properties=species:S:1:pos:R:3 pbc="T T T"
Hf 0.000 0.000 0.000
Co 1.568 1.568 1.568
Pd 3.137 3.137 3.137
Pd 4.705 4.705 4.705
```

Summary:
**Space group**: No. 216
**ΔE_f**: -0.374 eV/atom

---

Record 11
Material: Dy3ErTm2As2Os
Method: DFT, PBE-GGA
State: relaxed

```
9
Lattice="4.144 0.000 0.000 0.000 6.786 3.910 0.000 -6.786 3.910" Properties=species:S:1:pos:R:3 pbc="T T T"
Dy 0.000 0.000 0.000
Dy 0.000 -2.748 4.740
Dy 0.000 2.748 4.740
Er 2.072 0.000 5.062
Tm 2.072 -1.656 2.203
Tm 2.072 1.656 2.203
As 2.072 -4.516 3.160
As 2.072 4.516 3.160
Os 0.000 0.000 3.140
```

Summary:
**Space group**: No. 38

---

Record 12
Material: NaTeIrAuSe2
Method: DFT, PBE-GGA
State: relaxed

```
12
Lattice="1.844 -7.722 0.000 1.844 7.722 0.000 0.000 0.000 10.388" Properties=species:S:1:pos:R:3 pbc="T T T"
Na 1.844 4.289 7.791
Na 1.844 -4.289 2.597
Te 1.844 0.780 2.597
Te 1.844 -0.780 7.791
Ir 1.844 0.000 0.000
Ir 1.844 0.000 5.194
Au 1.844 5.757 2.597
Au 1.844 -5.757 7.791
Se 1.844 5.993 0.156
Se 1.844 5.993 5.038
Se 1.844 -5.993 5.350
Se 1.844 -5.993 10.232
```

Summary:
**Space group**: No. 63

---

Record 13
Material: ZnGe2Te
Method: DFT, PBE-GGA
State: relaxed

```
4
Lattice="0.000 3.494 3.494 3.494 0.000 3.494 3.494 3.494 0.000" Properties=species:S:1:pos:R:3 pbc="T T T"
Zn 0.000 0.000 0.000
Ge 1.747 1.747 1.747
Ge 3.494 3.494 3.494
Te 5.240 5.240 5.240
```

Summary:
**Space group**: No. 216

---

Record 14
Material: SmBeAg
Method: DFT, PBE-GGA
State: relaxed

```
3
Lattice="0.000 3.355 3.355 3.355 0.000 3.355 3.355 3.355 0.000" Properties=species:S:1:pos:R:3 pbc="T T T"
Sm 0.000 0.000 0.000
Be 1.677 1.677 1.677
Ag 5.032 5.032 5.032
```

Summary:
**Space group**: No. 216

---

Record 15
Material: ZnRe2Bi
Method: DFT, PBE-GGA
State: relaxed

```
4
Lattice="0.000 3.270 3.270 3.270 0.000 3.270 3.270 3.270 0.000" Properties=species:S:1:pos:R:3 pbc="T T T"
Zn 0.000 0.000 0.000
Re 1.635 1.635 1.635
Re 3.270 3.270 3.270
Bi 4.905 4.905 4.905
```

Summary:
**Space group**: No. 216

---

Record 16
Material: TbIrPb2O6
Method: DFT, PBE-GGA
State: relaxed

```
10
Lattice="-2.888 2.888 4.189 2.888 -2.888 4.189 2.888 2.888 -4.189" Properties=species:S:1:pos:R:3 pbc="T T T"
Tb 0.000 0.000 0.000
Ir 0.000 0.000 4.189
Pb 2.888 0.000 2.094
Pb 0.000 2.888 2.094
O 3.875 1.191 0.000
O 0.000 0.000 2.220
O 1.191 1.901 0.000
O 1.697 0.987 4.189
O 0.000 0.000 6.158
O -0.987 1.697 4.189
```

Summary:
**Space group**: No. 87

---

Record 17
Material: Tm2AlO4
Method: DFT, PBE-GGA
State: relaxed

```
14
Lattice="0.000 4.448 4.448 4.448 0.000 4.448 4.448 4.448 0.000" Properties=species:S:1:pos:R:3 pbc="T T T"
Tm 0.000 0.000 0.000
Tm 2.224 2.224 0.000
Tm 2.224 0.000 2.224
Tm 0.000 2.224 2.224
Al 3.336 3.336 3.336
Al 5.560 5.560 5.560
O 2.297 2.297 2.297
O 4.375 4.375 2.297
O 4.375 2.297 4.375
O 6.600 4.521 4.521
O 2.297 4.375 4.375
O 4.521 6.600 4.521
O 4.521 4.521 6.600
O 6.600 6.600 6.600
```

Summary:
**Space group**: No. 227

---

Record 18
Material: Li2ZnP
Method: DFT, PBE-GGA
State: relaxed

```
16
Lattice="4.207 0.000 0.000 -2.104 3.644 0.000 0.000 0.000 15.496" Properties=species:S:1:pos:R:3 pbc="T T T"
Li 0.000 2.429 0.551
Li 0.000 2.429 3.308
Li 0.000 2.429 8.310
Li 0.000 2.429 11.061
Li 2.104 1.215 4.435
Li 2.104 1.215 7.187
Li 2.104 1.215 12.189
Li 2.104 1.215 14.945
Zn 0.000 0.000 1.884
Zn 0.000 0.000 5.793
Zn 0.000 0.000 9.704
Zn 0.000 0.000 13.612
P 0.000 2.429 5.809
P 0.000 2.429 13.546
P 2.104 1.215 1.951
P 2.104 1.215 9.687
```

Summary:
**Space group**: No. 164

---

Record 19
Material: NaHfTcMo
Method: DFT, PBE-GGA
State: relaxed

```
4
Lattice="0.000 3.259 3.259 3.259 0.000 3.259 3.259 3.259 0.000" Properties=species:S:1:pos:R:3 pbc="T T T"
Na 0.000 0.000 0.000
Hf 1.630 1.630 1.630
Tc 3.259 3.259 3.259
Mo 4.889 4.889 4.889
```

Summary:
**Space group**: No. 216
**Relative energy among the computed polymorphs**: 0.000 eV per formula unit

---

Record 20
Material: YAlRe
Method: DFT, PBE-GGA
State: relaxed

```
3
Lattice="0.000 3.304 3.304 3.304 0.000 3.304 3.304 3.304 0.000" Properties=species:S:1:pos:R:3 pbc="T T T"
Y 0.000 0.000 0.000
Al 4.957 4.957 4.957
Re 1.652 1.652 1.652
```

Summary:
**Space group**: No. 216
**Relative energy among the computed polymorphs**: 2.425 eV per formula unit

---

Record 21
Material: ZrCuAsIr
Method: DFT, PBE-GGA
State: relaxed

```
4
Lattice="0.000 3.206 3.206 3.206 0.000 3.206 3.206 3.206 0.000" Properties=species:S:1:pos:R:3 pbc="T T T"
Zr 0.000 0.000 0.000
Cu 4.809 4.809 4.809
As 3.206 3.206 3.206
Ir 1.603 1.603 1.603
```

Summary:
**Space group**: No. 216
**Relative energy among the computed polymorphs**: 0.000 eV per formula unit

---

Record 22
Material: TlCdP
Method: DFT, PBE-GGA
State: relaxed

```
6
Lattice="4.449 0.000 0.000 0.000 4.449 0.000 0.000 0.000 7.744" Properties=species:S:1:pos:R:3 pbc="T T T"
Tl 1.112 1.112 1.085
Tl 3.336 3.336 6.659
Cd 1.112 3.336 3.872
Cd 3.336 1.112 3.872
P 1.112 1.112 5.472
P 3.336 3.336 2.272
```

Summary:
**Space group**: No. 129

---

Record 23
Material: PrNi2Sn2
Method: DFT, PBE-GGA
State: relaxed

```
5
Lattice="-2.215 2.215 5.237 2.215 -2.215 5.237 2.215 2.215 -5.237" Properties=species:S:1:pos:R:3 pbc="T T T"
Pr 0.000 0.000 0.000
Ni 2.215 0.000 2.618
Ni 0.000 2.215 2.618
Sn 0.000 0.000 3.804
Sn 0.000 0.000 6.670
```

Summary:
**Space group**: No. 139

---

Record 24
Material: LuMg2Pd
Method: DFT, PBE-GGA
State: relaxed

```
4
Lattice="0.000 3.435 3.435 3.435 0.000 3.435 3.435 3.435 0.000" Properties=species:S:1:pos:R:3 pbc="T T T"
Lu 0.000 0.000 0.000
Mg 1.717 1.717 1.717
Mg 3.435 3.435 3.435
Pd 5.152 5.152 5.152
```

Summary:
**Space group**: No. 216

---

no.,E_tot (eV/cell)
1,-18.43
2,-22.14
3,-19.31
4,-32.08
5,-39.09
6,-38.62
7,-15.03
8,-47.85
9,-100.03
10,-28.91
11,-54.79
12,-50.94
13,-12.37
14,-9.28
15,-26.74
16,-66.14
17,-108.32
18,-47.61
19,-30.41
20,-18.79
21,-26.93
22,-17.15
23,-26.41
24,-14.36